Entry from the Alexandria database: an optimized crystal structure of TiSnIN2 (GGA-PBEsol).

Unit cell a=4.103 b=4.103 c=5.404 alpha=90.00 beta=90.00 gamma=90.00
Positions (direct):
Sn1 0.500 0.500 0.500
I1 0.000 0.000 0.500
N1 0.500 0.000 0.000
N2 0.000 0.500 0.000
Ti1 0.000 0.000 0.000

ΔE to the lowest computed polymorph: 0 meV/atom
volume: 18.2 Å³ per atom
uncorrected formation energy: 0.39 eV/atom
spin magnetization: 0.01 Bohr magnetons per cell

Entry from the Alexandria database: an optimized crystal structure of Ta2FeHg (GGA-PBEsol).

Unit cell a=2.920 b=4.844 c=4.844 alpha=110.74 beta=90.00 gamma=90.00
Last column: magnetic moment on the atom in μB.
Positions (direct):
Hg1 0.500 0.500 0.500  -0.01
Ta1 0.000 0.500 0.000  -0.04
Ta2 0.000 0.000 0.500  -0.04
Fe1 0.500 0.000 0.000  0.59

volume: 16.0 Å³ per atom
formation enthalpy at 0 K: 29 kJ per mole of atoms
spin magnetization: 0.45 Bohr magnetons per cell

| no. | density of states at the Fermi level (states/eV/cell) | E_tot (eV/atom) |
| --- | --- | --- |
| 1 | 1.83 | -5.895 |
| 2 | 3.59 | -8.362 |